Ba2CrTcO6 | PBE with a Hubbard U | relaxed

Cell and atoms, written as POSCAR:
```
Ba2CrTcO6
1.0
5.822 0.000 0.000
2.911 5.042 0.000
2.911 1.681 9.496
O Ba Cr Tc
12 4 2 2
Direct
0.286 0.797 0.119 O
0.389 0.851 0.371 O
0.851 0.389 0.371 O
0.389 0.389 0.371 O
0.611 0.149 0.629 O
0.203 0.714 0.881 O
0.149 0.611 0.629 O
0.714 0.203 0.881 O
0.797 0.286 0.119 O
0.797 0.797 0.119 O
0.611 0.611 0.629 O
0.203 0.203 0.881 O
0.287 0.287 0.138 Ba
0.713 0.713 0.862 Ba
0.874 0.874 0.379 Ba
0.126 0.126 0.621 Ba
0.591 0.591 0.228 Cr
0.409 0.409 0.772 Cr
0.000 0.000 0.000 Tc
0.500 0.500 0.500 Tc
```

Size of the total moment: 3.795 Bohr magnetons per cell
Raw total energy: -7.302 eV per atom